Entry 1:
Here is an optimized crystal structure of Pr2SmNpS4 from Alexandria via LeMat-Bulk. Energies are from GGA-PBE.

Cell lengths 4.020, 6.978, 7.014 Å; angles 109.26, 90.00, 90.00 degrees
Site moments in Bohr magnetons follow the coordinates.
Positions (direct):
Pr1 0.500 0.000 0.500  -0.01
Pr2 0.000 0.500 0.500  0.05
Sm1 0.000 0.000 0.000  0.05
Np1 0.500 0.500 0.000  3.96
S1 0.500 0.250 0.239  -0.02
S2 0.500 0.750 0.761  -0.02
S3 0.000 0.259 0.764  -0.04
S4 0.000 0.741 0.236  -0.04

Computed properties:
E: -7.3221 eV/atom
Theoretical density: 7.13 g/cm3
Symmetry: P2/m (10)
Formation energy from raw total energies: -1.856 eV/atom

Entry 2:
Here is an optimized crystal structure of Zr2As2H from Alexandria via LeMat-Bulk. Energies are from GGA-PBE.

Cell lengths 3.666, 7.330, 6.844 Å; angles 90.00, 105.53, 90.00 degrees
Positions (direct):
Zr1 0.432 0.442 0.865
Zr2 0.853 0.048 0.706
Zr3 0.147 0.548 0.294
Zr4 0.568 0.942 0.135
As1 0.956 0.726 0.912
As2 0.777 0.393 0.553
As3 0.223 0.893 0.447
As4 0.044 0.226 0.088
H1 0.419 0.025 0.837
H2 0.581 0.525 0.163

Computed properties:
E: -6.7500 eV/atom
Theoretical density: 6.25 g/cm3
Symmetry: Cmc2_1 (36)

Entry 3:
Here is an optimized crystal structure of KTlGe2Br6 from Alexandria via LeMat-Bulk. Energies are from GGA-PBE.

Cell lengths 10.930, 9.255, 9.255 Å; angles 103.26, 73.38, 73.38 degrees
Positions (direct):
K1 0.250 0.907 0.093
K2 0.750 0.093 0.907
Tl1 0.250 0.262 0.738
Tl2 0.750 0.738 0.262
Ge1 0.294 0.733 0.570
Ge2 0.206 0.430 0.267
Ge3 0.706 0.267 0.430
Ge4 0.794 0.570 0.733
Br1 0.132 0.989 0.806
Br2 0.368 0.194 0.011
Br3 0.868 0.011 0.194
Br4 0.632 0.806 0.989
Br5 0.386 0.884 0.397
Br6 0.114 0.603 0.116
Br7 0.614 0.116 0.603
Br8 0.886 0.397 0.884
Br9 0.974 0.689 0.673
Br10 0.526 0.327 0.311
Br11 0.026 0.311 0.327
Br12 0.474 0.673 0.689

Computed properties:
E: -3.1251 eV/atom
Theoretical density: 3.56 g/cm3
Symmetry: C2/c (15)
Formation energy from raw total energies: -0.852 eV/atom

Entry 4:
Here is an optimized crystal structure of ThInAu4 from Alexandria via LeMat-Bulk. Energies are from GGA-PBE.

Cell lengths 4.696, 7.445, 7.840 Å; angles 90.00, 107.71, 90.00 degrees
Positions (direct):
Th1 0.176 0.750 0.355
Th2 0.824 0.250 0.645
In1 0.849 0.750 0.693
In2 0.151 0.250 0.307
Au1 0.355 0.523 0.704
Au2 0.645 0.023 0.296
Au3 0.355 0.977 0.704
Au4 0.645 0.477 0.296
Au5 0.000 0.500 0.000
Au6 0.000 0.000 0.000
Au7 0.517 0.750 0.034
Au8 0.483 0.250 0.966

Computed properties:
E: -4.2922 eV/atom
Theoretical density: 14.43 g/cm3
Symmetry: P2_1/m (11)
Formation enthalpy at 0 K: -0.414 eV/atom

Entry 5:
Here is an optimized crystal structure of Gd2VCo from Alexandria via LeMat-Bulk. Energies are from GGA-PBE.

Cell lengths 3.511, 3.511, 9.592 Å; angles 79.45, 79.45, 60.00 degrees
Site moments in Bohr magnetons follow the coordinates.
Positions (direct):
Gd1 0.106 0.106 0.682  7.10
Gd2 0.894 0.894 0.318  7.10
Co1 0.500 0.500 0.500  -0.03
V1 0.000 0.000 0.000  2.85

Computed properties:
E: -10.4422 eV/atom
Theoretical density: 7.04 g/cm3
Symmetry: R-3m (166)
Formation enthalpy at 0 K: 0.654 eV/atom

Entry 6:
Here is an optimized crystal structure of Sc6NiTe2 from Alexandria via LeMat-Bulk. Energies are from GGA-PBE.

Cell lengths 6.287, 6.287, 12.643 Å; angles 90.00, 90.00, 90.00 degrees
Positions (direct):
Sc1 0.315 0.315 0.360
Sc2 0.685 0.685 0.360
Sc3 0.185 0.815 0.860
Sc4 0.815 0.185 0.860
Sc5 0.185 0.815 0.140
Sc6 0.815 0.185 0.140
Sc7 0.315 0.315 0.640
Sc8 0.685 0.685 0.640
Sc9 0.281 0.281 0.000
Sc10 0.719 0.719 0.000
Sc11 0.219 0.781 0.500
Sc12 0.781 0.219 0.500
Ni1 0.000 0.000 0.000
Ni2 0.500 0.500 0.500
Te1 0.000 0.000 0.328
Te2 0.500 0.500 0.828
Te3 0.500 0.500 0.172
Te4 0.000 0.000 0.672

Computed properties:
E: -5.8902 eV/atom
Theoretical density: 3.88 g/cm3
Symmetry: P4_2/mnm (136)
Formation energy from raw total energies: -0.329 eV/atom

Which value of theoretical density does entry 3 give?
3.56 g/cm3

The lowest E belongs to which entry?
Gd2VCo

The highest E belongs to which entry?
KTlGe2Br6

Please write out number 6 again, unchanged.
Here is an optimized crystal structure of Sc6NiTe2 from Alexandria via LeMat-Bulk. Energies are from GGA-PBE.

Cell lengths 6.287, 6.287, 12.643 Å; angles 90.00, 90.00, 90.00 degrees
Positions (direct):
Sc1 0.315 0.315 0.360
Sc2 0.685 0.685 0.360
Sc3 0.185 0.815 0.860
Sc4 0.815 0.185 0.860
Sc5 0.185 0.815 0.140
Sc6 0.815 0.185 0.140
Sc7 0.315 0.315 0.640
Sc8 0.685 0.685 0.640
Sc9 0.281 0.281 0.000
Sc10 0.719 0.719 0.000
Sc11 0.219 0.781 0.500
Sc12 0.781 0.219 0.500
Ni1 0.000 0.000 0.000
Ni2 0.500 0.500 0.500
Te1 0.000 0.000 0.328
Te2 0.500 0.500 0.828
Te3 0.500 0.500 0.172
Te4 0.000 0.000 0.672

Computed properties:
E: -5.8902 eV/atom
Theoretical density: 3.88 g/cm3
Symmetry: P4_2/mnm (136)
Formation energy from raw total energies: -0.329 eV/atom